# CrAg2Se | Alexandria via LeMat-Bulk | PBE | relaxed
data_CrAg2Se
_space_group_name_H-M_alt 'P 4/m m m'
_space_group_IT_number 123
_space_group_name_Hall '-P 4 2'
_cell_length_a 2.900
_cell_length_b 2.900
_cell_length_c 8.939
_cell_angle_alpha 90.00
_cell_angle_beta 90.00
_cell_angle_gamma 90.00
loop_
_atom_site_label
_atom_site_type_symbol
_atom_site_fract_x
_atom_site_fract_y
_atom_site_fract_z
_atom_site_occupancy
Cr1 Cr 0.000 0.000 0.000 1
Ag1 Ag 0.500 0.500 0.224 1
Se1 Se 0.000 0.000 0.500 1
# V	18.798	Å³ per atom
# formation energy without anion corrections	1.62	eV per formula unit

---

# CrAgSe | Alexandria via LeMat-Bulk | PBE | relaxed
data_CrAgSe
_space_group_name_H-M_alt 'P -1'
_space_group_IT_number 2
_cell_length_a 4.574
_cell_length_b 4.780
_cell_length_c 5.813
_cell_angle_alpha 95.45
_cell_angle_beta 92.07
_cell_angle_gamma 112.38
loop_
_space_group_symop_operation_xyz
'x,y,z'
'-x,-y,-z'
loop_
_atom_site_label
_atom_site_type_symbol
_atom_site_fract_x
_atom_site_fract_y
_atom_site_fract_z
_atom_site_occupancy
Cr1 Cr 0.075 0.183 0.431 1
Ag1 Ag 0.167 0.279 0.941 1
Se1 Se 0.379 0.712 0.677 1
# V	19.441	Å³ per atom
# formation energy without anion corrections	0.37	eV per formula unit
# polymorph energy (0 for the lowest one)	0.35	eV per formula unit

---

# CrAg2Se | Alexandria via LeMat-Bulk | PBE | relaxed
data_CrAg2Se
_space_group_name_H-M_alt 'P 1 m 1'
_space_group_IT_number 6
_cell_length_a 3.404
_cell_length_b 3.403
_cell_length_c 6.860
_cell_angle_alpha 90.00
_cell_angle_beta 103.90
_cell_angle_gamma 90.00
loop_
_space_group_symop_operation_xyz
'x,y,z'
'x,-y,z'
loop_
_atom_site_label
_atom_site_type_symbol
_atom_site_fract_x
_atom_site_fract_y
_atom_site_fract_z
_atom_site_occupancy
Cr1 Cr 0.000 0.000 0.000 1
Ag1 Ag 0.240 0.000 0.492 1
Ag2 Ag 0.633 0.500 0.271 1
Se1 Se 0.428 0.500 0.853 1
# V	19.285	Å³ per atom
# formation energy without anion corrections	0.24	eV per formula unit

---

# CrAgSe4 | Alexandria via LeMat-Bulk | PBE | relaxed
data_CrAgSe4
_space_group_name_H-M_alt 'F -4 3 m'
_space_group_IT_number 216
_space_group_name_Hall 'F -4 2 3'
_cell_length_a 8.098
_cell_length_b 8.098
_cell_length_c 8.098
_cell_angle_alpha 90.00
_cell_angle_beta 90.00
_cell_angle_gamma 90.00
loop_
_atom_site_label
_atom_site_type_symbol
_atom_site_fract_x
_atom_site_fract_y
_atom_site_fract_z
_atom_site_occupancy
Cr1 Cr 0.000 0.000 0.000 1
Ag1 Ag 0.250 0.250 0.250 1
Se1 Se 0.125 0.125 0.625 1
# V	22.127	Å³ per atom
# formation energy without anion corrections	3.92	eV per formula unit
# polymorph energy (0 for the lowest one)	4.42	eV per formula unit

---

# CrAgSe | Alexandria via LeMat-Bulk | PBE | relaxed
data_CrAgSe
_space_group_name_H-M_alt 'P 4/n m m'
_space_group_IT_number 129
_cell_length_a 3.011
_cell_length_b 3.011
_cell_length_c 11.092
_cell_angle_alpha 90.00
_cell_angle_beta 90.00
_cell_angle_gamma 90.00
loop_
_space_group_symop_operation_xyz
'x,y,z'
'-x,-y,-z'
'-y+1/2,x,z'
'y+1/2,-x,-z'
'-x+1/2,-y+1/2,z'
'x+1/2,y+1/2,-z'
'y,-x+1/2,z'
'-y,x+1/2,-z'
'x+1/2,-y,-z'
'-x+1/2,y,z'
'-y,-x,-z'
'y,x,z'
'-x,y+1/2,-z'
'x,-y+1/2,z'
'y+1/2,x+1/2,-z'
'-y+1/2,-x+1/2,z'
loop_
_atom_site_label
_atom_site_type_symbol
_atom_site_fract_x
_atom_site_fract_y
_atom_site_fract_z
_atom_site_occupancy
Cr1 Cr 0.250 0.250 0.073 1
Ag1 Ag 0.250 0.250 0.411 1
Se1 Se 0.250 0.250 0.816 1
# V	16.757	Å³ per atom
# formation energy without anion corrections	0.19	eV per formula unit
# polymorph energy (0 for the lowest one)	0.17	eV per formula unit

---

# CrAgSe | Alexandria via LeMat-Bulk | PBE | relaxed
data_CrAgSe
_space_group_name_H-M_alt 'C 1 m 1'
_space_group_IT_number 8
_cell_length_a 11.897
_cell_length_b 3.730
_cell_length_c 5.890
_cell_angle_alpha 90.00
_cell_angle_beta 111.92
_cell_angle_gamma 90.00
loop_
_space_group_symop_operation_xyz
'x,y,z'
'x,-y,z'
'x+1/2,y+1/2,z'
'x+1/2,-y+1/2,z'
loop_
_atom_site_label
_atom_site_type_symbol
_atom_site_fract_x
_atom_site_fract_y
_atom_site_fract_z
_atom_site_occupancy
Cr1 Cr 0.000 0.000 0.000 1
Cr2 Cr 0.241 0.500 0.668 1
Ag1 Ag 0.315 0.500 0.233 1
Ag2 Ag 0.413 0.000 0.615 1
Se1 Se 0.049 0.500 0.292 1
Se2 Se 0.180 0.000 0.883 1
# V	20.207	Å³ per atom
# formation energy without anion corrections	0.28	eV per formula unit
# polymorph energy (0 for the lowest one)	0.26	eV per formula unit